--- one ---
VASP calculation (PBE-GGA) on crystalline YZnIN2 at its relaxed geometry.

a b c (Å): 4.344 4.344 6.549
angles (deg): 90.00 90.00 90.00
Atoms (fractional coordinates):
1 Y 0.000 0.000 0.000
2 Zn 0.500 0.500 0.500
3 I 0.000 0.000 0.500
4 N 0.000 0.500 0.000
5 N 0.500 0.000 0.000

DOS(E_F) (states/eV/cell): 3.99
V (Å³ per atom): 24.71
Crystal system: tetragonal

--- two ---
VASP calculation (PBE-GGA) on crystalline YZnIN2 at its relaxed geometry.

a b c (Å): 4.175 4.175 5.252
angles (deg): 90.00 90.00 90.00
Atoms (fractional coordinates):
1 Y 0.000 0.000 0.000
2 Zn 0.500 0.500 0.500
3 I 0.500 0.500 0.000
4 N 0.000 0.500 0.500
5 N 0.500 0.000 0.500

DOS(E_F) (states/eV/cell): 2.83
V (Å³ per atom): 18.31
Crystal system: tetragonal

Relative energies, meV per atom: one 0; two 132.

--- one ---
VASP calculation (PBE-GGA) on crystalline YZnI2N at its relaxed geometry.

a b c (Å): 5.855 5.855 3.725
angles (deg): 90.00 90.00 90.00
Atoms (fractional coordinates):
1 Y 0.000 0.000 0.000
2 Zn 0.500 0.500 0.500
3 I 0.000 0.500 0.500
4 I 0.500 0.000 0.500
5 N 0.500 0.500 0.000

DOS(E_F) (states/eV/cell): 3.84
V (Å³ per atom): 25.54
Crystal system: tetragonal

--- two ---
VASP calculation (PBE-GGA) on crystalline YZnI2N at its relaxed geometry.

a b c (Å): 6.195 6.195 4.359
angles (deg): 90.00 90.00 90.00
Atoms (fractional coordinates):
1 Y 0.000 0.000 0.000
2 Zn 0.500 0.500 0.500
3 I 0.000 0.500 0.000
4 I 0.500 0.000 0.000
5 N 0.000 0.000 0.500

DOS(E_F) (states/eV/cell): 4.45
V (Å³ per atom): 33.46
Crystal system: tetragonal

Relative energies, meV per atom: one 208; two 0.

--- one ---
VASP calculation (PBE-GGA) on crystalline YZrIN2 at its relaxed geometry.

a b c (Å): 4.389 4.389 5.729
angles (deg): 90.00 90.00 90.00
Atoms (fractional coordinates):
1 Y 0.000 0.000 0.000
2 Zr 0.500 0.500 0.500
3 I 0.000 0.000 0.500
4 N 0.000 0.500 0.000
5 N 0.500 0.000 0.000

DOS(E_F) (states/eV/cell): 6.33
V (Å³ per atom): 22.07
Crystal system: tetragonal

--- two ---
VASP calculation (PBE-GGA) on crystalline YZrIN2 at its relaxed geometry.

a b c (Å): 4.312 4.312 5.572
angles (deg): 90.00 90.00 90.00
Atoms (fractional coordinates):
1 Y 0.000 0.000 0.000
2 Zr 0.500 0.500 0.500
3 I 0.500 0.500 0.000
4 N 0.000 0.500 0.500
5 N 0.500 0.000 0.500

DOS(E_F) (states/eV/cell): 2.75
V (Å³ per atom): 20.72
Crystal system: tetragonal

Relative energies, meV per atom: one 783; two 0.

--- one ---
VASP calculation (PBE-GGA) on crystalline ZnI3N at its relaxed geometry.

a b c (Å): 5.638 5.638 5.638
angles (deg): 90.00 90.00 90.00
Atoms (fractional coordinates):
1 Zn 0.000 0.000 0.000
2 I 0.000 0.000 0.500
3 I 0.000 0.500 0.000
4 I 0.500 0.000 0.000
5 N 0.500 0.500 0.500

DOS(E_F) (states/eV/cell): 4.94
V (Å³ per atom): 35.85
Crystal system: cubic

--- two ---
VASP calculation (PBE-GGA) on crystalline ZnI3N at its relaxed geometry.

a b c (Å): 5.077 5.077 5.077
angles (deg): 90.00 90.00 90.00
Atoms (fractional coordinates):
1 Zn 0.000 0.000 0.000
2 I 0.000 0.500 0.500
3 I 0.500 0.000 0.500
4 I 0.500 0.500 0.000
5 N 0.500 0.500 0.500

DOS(E_F) (states/eV/cell): 4.31
V (Å³ per atom): 26.17
Crystal system: cubic

Relative energies, meV per atom: one 31; two 0.

--- one ---
VASP calculation (PBE-GGA) on crystalline ZnIN2 at its relaxed geometry.

a b c (Å): 5.863 5.863 5.863
angles (deg): 90.00 90.00 90.00
Atoms (fractional coordinates):
1 Zn 0.000 0.000 0.000
2 Zn 0.000 0.500 0.500
3 Zn 0.500 0.000 0.500
4 Zn 0.500 0.500 0.000
5 I 0.000 0.000 0.500
6 I 0.000 0.500 0.000
7 I 0.500 0.000 0.000
8 I 0.500 0.500 0.500
9 N 0.250 0.250 0.250
10 N 0.250 0.250 0.750
11 N 0.250 0.750 0.250
12 N 0.250 0.750 0.750
13 N 0.750 0.250 0.250
14 N 0.750 0.250 0.750
15 N 0.750 0.750 0.250
16 N 0.750 0.750 0.750

DOS(E_F) (states/eV/cell): 7.45
V (Å³ per atom): 12.60
Crystal system: cubic

--- two ---
VASP calculation (PBE-GGA) on crystalline ZnIN2 at its relaxed geometry.

a b c (Å): 4.669 4.669 11.423
angles (deg): 90.00 90.00 90.00
Atoms (fractional coordinates):
1 Zn 0.000 0.000 0.000
2 Zn 0.000 0.500 0.250
3 Zn 0.500 0.000 0.750
4 Zn 0.500 0.500 0.500
5 I 0.000 0.000 0.500
6 I 0.000 0.500 0.750
7 I 0.500 0.000 0.250
8 I 0.500 0.500 0.000
9 N 0.232 0.250 0.125
10 N 0.250 0.732 0.375
11 N 0.250 0.768 0.875
12 N 0.268 0.250 0.625
13 N 0.732 0.750 0.625
14 N 0.750 0.232 0.875
15 N 0.750 0.268 0.375
16 N 0.768 0.750 0.125

DOS(E_F) (states/eV/cell): 3.52
V (Å³ per atom): 15.56
Crystal system: tetragonal

--- three ---
VASP calculation (PBE-GGA) on crystalline ZnIN2 at its relaxed geometry.

a b c (Å): 3.365 3.365 18.297
angles (deg): 90.00 90.00 120.00
Atoms (fractional coordinates):
1 Zn 0.000 0.000 0.000
2 Zn 0.333 0.667 0.667
3 Zn 0.667 0.333 0.333
4 I 0.000 0.000 0.500
5 I 0.333 0.667 0.167
6 I 0.667 0.333 0.833
7 N 0.000 0.000 0.386
8 N 0.000 0.000 0.614
9 N 0.333 0.667 0.053
10 N 0.333 0.667 0.280
11 N 0.667 0.333 0.720
12 N 0.667 0.333 0.947

DOS(E_F) (states/eV/cell): 6.61
V (Å³ per atom): 14.96
Crystal system: trigonal

--- four ---
VASP calculation (PBE-GGA) on crystalline ZnIN2 at its relaxed geometry.

a b c (Å): 3.729 3.729 17.266
angles (deg): 90.00 90.00 120.00
Atoms (fractional coordinates):
1 Zn 0.000 0.000 0.000
2 Zn 0.333 0.667 0.667
3 Zn 0.667 0.333 0.333
4 I 0.000 0.000 0.500
5 I 0.333 0.667 0.167
6 I 0.667 0.333 0.833
7 N 0.000 0.000 0.108
8 N 0.000 0.000 0.892
9 N 0.333 0.667 0.559
10 N 0.333 0.667 0.774
11 N 0.667 0.333 0.226
12 N 0.667 0.333 0.441

DOS(E_F) (states/eV/cell): 2.92
V (Å³ per atom): 17.32
Crystal system: trigonal

Relative energies, meV per atom: one 776; two 90; three 0; four 146.

--- one ---
VASP calculation (PBE-GGA) on crystalline ZnI2N at its relaxed geometry.

a b c (Å): 7.409 7.409 7.409
angles (deg): 90.00 90.00 90.00
Atoms (fractional coordinates):
1 Zn 0.000 0.000 0.000
2 Zn 0.000 0.500 0.500
3 Zn 0.500 0.000 0.500
4 Zn 0.500 0.500 0.000
5 I 0.250 0.250 0.250
6 I 0.250 0.250 0.750
7 I 0.250 0.750 0.250
8 I 0.250 0.750 0.750
9 I 0.750 0.250 0.250
10 I 0.750 0.250 0.750
11 I 0.750 0.750 0.250
12 I 0.750 0.750 0.750
13 N 0.000 0.000 0.500
14 N 0.000 0.500 0.000
15 N 0.500 0.000 0.000
16 N 0.500 0.500 0.500

DOS(E_F) (states/eV/cell): 3.91
V (Å³ per atom): 25.42
Crystal system: cubic

--- two ---
VASP calculation (PBE-GGA) on crystalline ZnI2N at its relaxed geometry.

a b c (Å): 5.564 5.564 14.153
angles (deg): 90.00 90.00 90.00
Atoms (fractional coordinates):
1 Zn 0.000 0.000 0.000
2 Zn 0.000 0.500 0.250
3 Zn 0.500 0.000 0.750
4 Zn 0.500 0.500 0.500
5 I 0.187 0.250 0.625
6 I 0.250 0.687 0.875
7 I 0.250 0.813 0.375
8 I 0.313 0.250 0.125
9 I 0.687 0.750 0.125
10 I 0.750 0.187 0.375
11 I 0.750 0.313 0.875
12 I 0.813 0.750 0.625
13 N 0.000 0.000 0.500
14 N 0.000 0.500 0.750
15 N 0.500 0.000 0.250
16 N 0.500 0.500 0.000

DOS(E_F) (states/eV/cell): 9.32
V (Å³ per atom): 27.39
Crystal system: tetragonal

Relative energies, meV per atom: one 247; two 0.

--- one ---
VASP calculation (PBE-GGA) on crystalline ZrZnI2N at its relaxed geometry.

a b c (Å): 5.648 5.648 3.648
angles (deg): 90.00 90.00 90.00
Atoms (fractional coordinates):
1 Zr 0.000 0.000 0.000
2 Zn 0.500 0.500 0.500
3 I 0.000 0.500 0.500
4 I 0.500 0.000 0.500
5 N 0.500 0.500 0.000

DOS(E_F) (states/eV/cell): 5.16
V (Å³ per atom): 23.28
Crystal system: tetragonal

--- two ---
VASP calculation (PBE-GGA) on crystalline ZrZnI2N at its relaxed geometry.

a b c (Å): 5.990 5.990 4.031
angles (deg): 90.00 90.00 90.00
Atoms (fractional coordinates):
1 Zr 0.000 0.000 0.000
2 Zn 0.500 0.500 0.500
3 I 0.000 0.500 0.000
4 I 0.500 0.000 0.000
5 N 0.000 0.000 0.500

DOS(E_F) (states/eV/cell): 4.72
V (Å³ per atom): 28.92
Crystal system: tetragonal

Relative energies, meV per atom: one 765; two 0.

--- one ---
VASP calculation (PBE-GGA) on crystalline ZrI2N at its relaxed geometry.

a b c (Å): 7.322 7.322 11.383
angles (deg): 90.00 90.00 90.00
Atoms (fractional coordinates):
1 Zr 0.000 0.000 0.000
2 Zr 0.000 0.500 0.250
3 Zr 0.500 0.000 0.750
4 Zr 0.500 0.500 0.500
5 I 0.223 0.250 0.125
6 I 0.250 0.723 0.375
7 I 0.250 0.777 0.875
8 I 0.277 0.250 0.625
9 I 0.723 0.750 0.625
10 I 0.750 0.223 0.875
11 I 0.750 0.277 0.375
12 I 0.777 0.750 0.125
13 N 0.000 0.000 0.500
14 N 0.000 0.500 0.750
15 N 0.500 0.000 0.250
16 N 0.500 0.500 0.000

DOS(E_F) (states/eV/cell): 7.30
V (Å³ per atom): 38.14
Crystal system: tetragonal

--- two ---
VASP calculation (PBE-GGA) on crystalline ZrI2N at its relaxed geometry.

a b c (Å): 7.144 7.144 7.144
angles (deg): 90.00 90.00 90.00
Atoms (fractional coordinates):
1 Zr 0.000 0.000 0.000
2 Zr 0.000 0.500 0.500
3 Zr 0.500 0.000 0.500
4 Zr 0.500 0.500 0.000
5 I 0.250 0.250 0.250
6 I 0.250 0.250 0.750
7 I 0.250 0.750 0.250
8 I 0.250 0.750 0.750
9 I 0.750 0.250 0.250
10 I 0.750 0.250 0.750
11 I 0.750 0.750 0.250
12 I 0.750 0.750 0.750
13 N 0.000 0.000 0.500
14 N 0.000 0.500 0.000
15 N 0.500 0.000 0.000
16 N 0.500 0.500 0.500

DOS(E_F) (states/eV/cell): 6.58
V (Å³ per atom): 22.79
Crystal system: cubic

Relative energies, meV per atom: one 235; two 0.

--- one ---
VASP calculation (PBE-GGA) on crystalline ZrI3N at its relaxed geometry.

a b c (Å): 4.959 4.959 4.959
angles (deg): 90.00 90.00 90.00
Atoms (fractional coordinates):
1 Zr 0.000 0.000 0.000
2 I 0.000 0.500 0.500
3 I 0.500 0.000 0.500
4 I 0.500 0.500 0.000
5 N 0.500 0.500 0.500

DOS(E_F) (states/eV/cell): 6.62
V (Å³ per atom): 24.39
Crystal system: cubic

--- two ---
VASP calculation (PBE-GGA) on crystalline ZrI3N at its relaxed geometry.

a b c (Å): 5.769 5.769 5.769
angles (deg): 90.00 90.00 90.00
Atoms (fractional coordinates):
1 Zr 0.000 0.000 0.000
2 I 0.000 0.000 0.500
3 I 0.000 0.500 0.000
4 I 0.500 0.000 0.000
5 N 0.500 0.500 0.500

DOS(E_F) (states/eV/cell): 2.40
V (Å³ per atom): 38.40
Crystal system: cubic

Relative energies, meV per atom: one 516; two 0.

--- one ---
VASP calculation (PBE-GGA) on crystalline NaI3 at its relaxed geometry.

a b c (Å): 8.506 8.506 8.506
angles (deg): 90.00 90.00 90.00
Atoms (fractional coordinates):
1 Na 0.000 0.000 0.000
2 Na 0.000 0.500 0.500
3 Na 0.500 0.000 0.500
4 Na 0.500 0.500 0.000
5 I 0.000 0.000 0.500
6 I 0.000 0.500 0.000
7 I 0.250 0.250 0.250
8 I 0.250 0.250 0.750
9 I 0.250 0.750 0.250
10 I 0.250 0.750 0.750
11 I 0.500 0.000 0.000
12 I 0.500 0.500 0.500
13 I 0.750 0.250 0.250
14 I 0.750 0.250 0.750
15 I 0.750 0.750 0.250
16 I 0.750 0.750 0.750

DOS(E_F) (states/eV/cell): 12.11
V (Å³ per atom): 38.46
Crystal system: cubic

--- two ---
VASP calculation (PBE-GGA) on crystalline NaI3 at its relaxed geometry.

a b c (Å): 9.941 9.110 9.461
angles (deg): 90.00 113.44 90.00
Atoms (fractional coordinates):
1 Na 0.191 0.049 0.431
2 Na 0.191 0.451 0.931
3 Na 0.809 0.549 0.069
4 Na 0.809 0.951 0.569
5 I 0.078 0.193 0.676
6 I 0.078 0.307 0.176
7 I 0.272 0.576 0.296
8 I 0.272 0.924 0.796
9 I 0.431 0.651 0.877
10 I 0.431 0.849 0.377
11 I 0.569 0.151 0.623
12 I 0.569 0.349 0.123
13 I 0.728 0.076 0.204
14 I 0.728 0.424 0.704
15 I 0.922 0.693 0.824
16 I 0.922 0.807 0.324

DOS(E_F) (states/eV/cell): 0.00
V (Å³ per atom): 49.13
Crystal system: monoclinic

Relative energies, meV per atom: one 399; two 0.

--- one ---
VASP calculation (PBE-GGA) on crystalline Na3NbI at its relaxed geometry.

a b c (Å): 5.869 5.869 5.869
angles (deg): 90.00 90.00 90.00
Atoms (fractional coordinates):
1 Na 0.000 0.000 0.500
2 Na 0.000 0.500 0.000
3 Na 0.500 0.000 0.000
4 Nb 0.500 0.500 0.500
5 I 0.000 0.000 0.000

DOS(E_F) (states/eV/cell): 2.30
V (Å³ per atom): 40.44
Crystal system: cubic

--- two ---
VASP calculation (PBE-GGA) on crystalline Na3NbI at its relaxed geometry.

a b c (Å): 6.075 6.075 6.075
angles (deg): 90.00 90.00 90.00
Atoms (fractional coordinates):
1 Na 0.000 0.000 0.500
2 Na 0.000 0.500 0.000
3 Na 0.500 0.000 0.000
4 Nb 0.000 0.000 0.000
5 I 0.500 0.500 0.500

DOS(E_F) (states/eV/cell): 0.09
V (Å³ per atom): 44.84
Crystal system: cubic

Relative energies, meV per atom: one 0; two 142.

--- one ---
VASP calculation (PBE-GGA) on crystalline NaNdI4 at its relaxed geometry.

a b c (Å): 7.651 4.573 8.081
angles (deg): 90.00 92.83 90.00
Atoms (fractional coordinates):
1 Na 0.000 0.000 0.000
2 Nd 0.000 0.500 0.500
3 I 0.226 0.500 0.192
4 I 0.240 0.000 0.663
5 I 0.760 0.000 0.337
6 I 0.774 0.500 0.808

DOS(E_F) (states/eV/cell): 0.00
V (Å³ per atom): 47.07
Crystal system: monoclinic

--- two ---
VASP calculation (PBE-GGA) on crystalline NaNdI4 at its relaxed geometry.

a b c (Å): 8.294 8.294 9.233
angles (deg): 90.00 90.00 99.45
Atoms (fractional coordinates):
1 Na 0.141 0.859 0.750
2 Na 0.859 0.141 0.250
3 Nd 0.492 0.508 0.250
4 Nd 0.508 0.492 0.750
5 I 0.203 0.229 0.750
6 I 0.229 0.203 0.250
7 I 0.326 0.674 0.507
8 I 0.326 0.674 0.993
9 I 0.674 0.326 0.007
10 I 0.674 0.326 0.493
11 I 0.771 0.797 0.750
12 I 0.797 0.771 0.250

DOS(E_F) (states/eV/cell): 0.00
V (Å³ per atom): 52.22
Crystal system: orthorhombic

Relative energies, meV per atom: one 0; two 74.

--- one ---
VASP calculation (PBE-GGA) on crystalline NaNiI at its relaxed geometry.

a b c (Å): 4.423 4.443 9.327
angles (deg): 102.41 90.78 119.59
Atoms (fractional coordinates):
1 Na 0.000 0.000 0.000
2 Na 0.475 0.937 0.426
3 Ni 0.584 0.154 0.733
4 Ni 0.901 0.791 0.688
5 I 0.246 0.481 0.723
6 I 0.737 0.469 0.213

DOS(E_F) (states/eV/cell): 1.49
V (Å³ per atom): 25.68
Crystal system: triclinic

--- two ---
VASP calculation (PBE-GGA) on crystalline NaNiI at its relaxed geometry.

a b c (Å): 5.333 5.333 9.366
angles (deg): 90.00 90.00 120.00
Atoms (fractional coordinates):
1 Na 0.333 0.667 0.250
2 Na 0.667 0.333 0.750
3 Ni 0.000 0.000 0.000
4 Ni 0.000 0.000 0.500
5 I 0.000 0.000 0.250
6 I 0.000 0.000 0.750

DOS(E_F) (states/eV/cell): 0.00
V (Å³ per atom): 38.45
Crystal system: hexagonal

Relative energies, meV per atom: one 0; two 358.